Compound: La2MgRe
Source: Alexandria
Functional: PBE
Structure: relaxed

## Properties
* E_tot: -5.821 eV/atom
* DFT formation energy: 3.55 kcal/mol of atoms

```
data_La2MgRe
_chemical_formula_sum 'La2 Mg1 Re1'
_cell_length_a 3.5518
_cell_length_b 3.5504
_cell_length_c 8.7668
_cell_angle_alpha 90.00
_cell_angle_beta 90.12
_cell_angle_gamma 90.00
_symmetry_space_group_name_H-M 'P 1 2/m 1'
_symmetry_Int_Tables_number 10
loop_
_symmetry_equiv_pos_as_xyz
'x,y,z'
'-x,-y,-z'
'-x,y,-z'
'x,-y,z'
loop_
_atom_site_label
_atom_site_type_symbol
_atom_site_fract_x
_atom_site_fract_y
_atom_site_fract_z
_atom_site_occupancy
La1 La 0.0017 0.0000 0.3004 1
Mg1 Mg 0.5000 0.5000 0.0000 1
Re1 Re 0.5000 0.5000 0.5000 1
```